A relaxed structure of MgTlGa2, computed with PBE.

As for the energy above the lowest structure with this stoichiometry: 8 kJ/mol of formula units. The formation energy from the elements is 0.030 eV per atom. The density of states at the Fermi level is 5.95 states/eV/cell.

a b c (Å): 4.5951 4.5951 15.4119
angles (deg): 90.00 90.00 120.00
Space group R3m (No. 160, hexagonal axes)
One atom of each set of equivalent atoms:
Mg (0.0000, 0.0000, 0.0000) x3
Tl (0.0000, 0.0000, 0.2227) x3
Ga (0.0000, 0.0000, 0.4214) x3
Ga (0.0000, 0.0000, 0.7771) x3